Entry 1:
VASP calculation (PBE+U) on an optimized crystal structure of Co2NF.

Total DFT energy (no corrections) (eV/atom): -5.37
Total magnetization (μB/atom): 1.500
Volume (Å³/atom): 13.44

abc: 4.8418 4.8418 9.1736
angles: 90.00 90.00 90.00
With the nearest neighbours (Å) after each atom.
Space group I-42d (No. 122)
Unique sites:
Co 0.2058 0.2500 0.1250 (multiplicity 8)  2 N 1.94
N 0.0000 0.0000 0.0000 (multiplicity 4)  4 Co 1.94
F 0.0000 0.0000 0.5000 (multiplicity 4)  4 Co 2.19

Entry 2:
VASP calculation (PBE+U) on an optimized crystal structure of CoN2F2.

Total DFT energy (no corrections) (eV/atom): -4.36
Total magnetization (μB/atom): 0.595
Volume (Å³/atom): 11.97
Distance to the lowest polymorph of the same formula (eV per atom): 1.9533

abc: 3.8166 3.8166 4.1074
angles: 90.00 90.00 90.00
With the nearest neighbours (Å) after each atom.
Space group P4/mmm (No. 123)
Unique sites:
Co 0.0000 0.0000 0.0000 (multiplicity 1)  4 F 1.91, 2 N 2.05
N 0.0000 0.0000 0.5000 (multiplicity 1)  2 Co 2.05
N 0.5000 0.5000 0.5000 (multiplicity 1)  4 N 2.70, 8 F 2.80
F 0.0000 0.5000 0.0000 (multiplicity 2)  2 Co 1.91

Entry 3:
VASP calculation (PBE+U) on an optimized crystal structure of Co3NF.

Total DFT energy (no corrections) (eV/atom): -5.03
Total magnetization (μB/atom): 1.400
Volume (Å³/atom): 11.66
Distance to the lowest polymorph of the same formula (eV per atom): 0.0000

abc: 3.8780 3.8780 3.8780
angles: 90.00 90.00 90.00
With the nearest neighbours (Å) after each atom.
Space group Pm-3m (No. 221)
Unique sites:
Co 0.0000 0.0000 0.5000 (multiplicity 3)  2 N 1.94
N 0.0000 0.0000 0.0000 (multiplicity 1)  6 Co 1.94
F 0.5000 0.5000 0.5000 (multiplicity 1)  12 Co 2.74

Entry 4:
VASP calculation (PBE+U) on an optimized crystal structure of CoNF2.

Total DFT energy (no corrections) (eV/atom): -4.52
Total magnetization (μB/atom): 1.492
Volume (Å³/atom): 15.71
Distance to the lowest polymorph of the same formula (eV per atom): 0.0000

abc: 3.2213 3.2213 20.9760
angles: 90.00 90.00 120.00
With the nearest neighbours (Å) after each atom.
Space group R-3m (No. 166, hexagonal axes)
Unique sites:
Co 0.0000 0.0000 0.0000 (multiplicity 3)  6 F 2.08
N 0.0000 0.0000 0.5000 (multiplicity 3)  6 F 3.16, 6 N 3.22
F 0.0000 0.0000 0.2885 (multiplicity 6)  3 Co 2.08

Entry 5:
VASP calculation (PBE+U) on an optimized crystal structure of CoN2F2.

Total DFT energy (no corrections) (eV/atom): -3.93
Total magnetization (μB/atom): 0.597
Volume (Å³/atom): 9.87
Distance to the lowest polymorph of the same formula (eV per atom): 2.3875

abc: 3.5119 3.5119 4.0021
angles: 90.00 90.00 90.00
With the nearest neighbours (Å) after each atom.
Space group P4/mmm (No. 123)
Unique sites:
Co 0.0000 0.0000 0.0000 (multiplicity 1)  4 N 2.48, 8 F 2.66
N 0.5000 0.5000 0.0000 (multiplicity 1)  2 N 2.00
N 0.5000 0.5000 0.5000 (multiplicity 1)  4 F 1.76
F 0.0000 0.5000 0.5000 (multiplicity 2)  2 N 1.76

Entry 6:
VASP calculation (PBE+U) on an optimized crystal structure of CoNF2.

Total DFT energy (no corrections) (eV/atom): -3.87
Total magnetization (μB/atom): 0.759
Volume (Å³/atom): 15.99
Distance to the lowest polymorph of the same formula (eV per atom): 0.6519

abc: 5.7902 5.7902 7.6311
angles: 90.00 90.00 90.00
With the nearest neighbours (Å) after each atom.
Space group I-42d (No. 122)
Unique sites:
Co 0.0000 0.0000 0.0000 (multiplicity 4)  4 F 1.92
N 0.0000 0.0000 0.5000 (multiplicity 4)  4 F 2.70
F 0.1418 0.2500 0.1250 (multiplicity 8)  2 Co 1.92